1.
A relaxed structure of Lu2Fe2BrCl, computed with PBE.

Structure (POSCAR):
```
Lu2Fe2BrCl
1.0
3.7611 0.0000 0.0000
-1.8806 3.2572 0.0000
0.0000 0.0000 11.0566
Br Cl Fe Lu
1 1 2 2
direct
0.0000 0.0000 0.1556
0.6667 0.3333 0.8324
0.6667 0.3333 0.4938
0.0000 0.0000 0.5122
0.3333 0.6667 0.3273
0.3333 0.6667 0.6787
```

Output
**Total moment**: 1.35 μB per cell
**Energy**: -5.895 eV per atom

---

2.
A relaxed structure of PaTePO, computed with PBE.

Structure (POSCAR):
```
PaTePO
1.0
3.9332 -3.9334 0.0000
3.9332 3.9334 0.0000
0.0000 0.0000 4.9225
O P Pa Te
2 2 2 2
direct
0.7500 0.2500 0.0000
0.2500 0.7500 0.0000
0.7500 0.7500 0.3037
0.2500 0.2500 0.6963
0.7500 0.2500 0.5000
0.2500 0.7500 0.5000
0.2500 0.2500 0.1818
0.7500 0.7500 0.8182
```

Output
**Total moment**: 0.02 μB per cell
**ΔE to the lowest computed polymorph**: 291.3 meV per atom

---

3.
A relaxed structure of BaZn, computed with PBE.

Structure (POSCAR):
```
BaZn
1.0
-4.2949 0.1713 -4.4290
-6.9626 -11.8633 6.2930
-3.3385 3.7537 3.3827
Ba Zn
8 8
direct
0.0267 0.1861 0.0000
0.5047 0.3750 0.0000
0.0267 0.5639 0.0000
0.3667 0.8750 0.0000
0.3066 0.0639 0.5000
0.9666 0.3750 0.5000
0.3066 0.6861 0.5000
0.8286 0.8750 0.5000
0.5495 0.0913 0.0000
0.5495 0.6587 0.0000
0.8805 0.7745 0.0000
0.8805 0.9755 0.0000
0.7839 0.1587 0.5000
0.4528 0.2745 0.5000
0.4528 0.4755 0.5000
0.7839 0.5913 0.5000
```

Output
**Energy**: -1.666 eV per atom

---

4.
A relaxed structure of KCuReS3, computed with PBE.

Structure (POSCAR):
```
KCuReS3
1.0
7.1178 -1.8027 0.0000
7.1178 1.8027 0.0000
0.0000 0.0000 9.3377
Cu K Re S
2 2 2 6
direct
0.5349 0.5349 0.2500
0.4651 0.4651 0.7500
0.2483 0.2483 0.2500
0.7517 0.7517 0.7500
0.0000 0.0000 0.0000
0.0000 0.0000 0.5000
0.6145 0.6145 0.0421
0.9337 0.9337 0.2500
0.6145 0.6145 0.4579
0.3855 0.3855 0.5421
0.0663 0.0663 0.7500
0.3855 0.3855 0.9579
```

Output
**Total moment**: 4.36 μB per cell
**Energy**: -5.347 eV per atom

---

5.
A relaxed structure of SmTlPd, computed with PBE.

Structure (POSCAR):
```
SmTlPd
1.0
-6.9717 -0.1892 2.4513
2.8589 -5.8688 -3.4688
1.4334 -1.6366 3.9503
Pd Sm Tl
3 3 3
direct
0.2390 0.0000 0.0000
0.0000 0.2390 0.0000
0.7610 0.7610 0.0000
0.5711 0.0000 0.5000
0.4289 0.4289 0.5000
0.0000 0.5711 0.5000
0.6667 0.3333 0.0000
0.3333 0.6667 0.0000
0.0000 0.0000 0.5000
```

Output
**Total moment**: 0.00 μB per cell
**ΔE to the lowest computed polymorph**: 177.1 meV per atom

---

6.
A relaxed structure of Co3Mo, computed with PBE.

Structure (POSCAR):
```
Co3Mo
1.0
-1.7900 1.7900 3.6177
1.7900 -1.7900 3.6177
1.7900 1.7900 -3.6177
Co Mo
3 1
direct
0.5000 0.5000 0.0000
0.7500 0.2500 0.5000
0.2500 0.7500 0.5000
0.0000 0.0000 0.0000
```

Output
**Total moment**: 1.81 μB per cell
**E_form**: 0.019 eV/atom

---

7.
A relaxed structure of LiCoAsPt, computed with PBE.

Structure (POSCAR):
```
LiCoAsPt
1.0
3.4974 0.3164 2.2896
-0.0586 -1.0137 4.0673
1.9577 -3.4617 1.3258
As Co Li Pt
1 1 1 1
direct
0.0000 0.0000 0.0000
0.7500 0.7500 0.7500
0.5000 0.5000 0.5000
0.2500 0.2500 0.2500
```

Output
**Total moment**: 1.34 μB per cell
**ΔE to the lowest computed polymorph**: 0.0 meV per atom

---

8.
A relaxed structure of Er3GaC, computed with PBE.

Structure (POSCAR):
```
Er3GaC
1.0
4.7981 0.0000 0.0000
0.0000 4.7981 0.0000
0.0000 0.0000 4.7981
C Er Ga
1 3 1
direct
0.0000 0.0000 0.0000
0.5000 0.0000 0.0000
0.0000 0.5000 0.0000
0.0000 0.0000 0.5000
0.5000 0.5000 0.5000
```

Output
**Total moment**: 0.00 μB per cell
**Energy**: -5.682 eV per atom

---

9.
A relaxed structure of TbErLu, computed with PBE.

Structure (POSCAR):
```
TbErLu
1.0
0.0000 3.7772 3.7772
3.7772 0.0000 3.7772
3.7772 3.7772 0.0000
Er Lu Tb
1 1 1
direct
0.2500 0.2500 0.2500
0.0000 0.0000 0.0000
0.7500 0.7500 0.7500
```

Output
**Total moment**: 0.02 μB per cell
**E_form**: 0.715 eV/atom
**ΔE to the lowest computed polymorph**: 0.0 meV per atom

---

10.
A relaxed structure of Pr2TcC2, computed with PBE.

Structure (POSCAR):
```
Pr2TcC2
1.0
5.7888 -2.7087 0.0000
5.7888 2.7087 0.0000
-3.4612 0.0000 5.9726
C Pr Tc
4 4 2
direct
0.1847 0.1847 0.1177
0.5060 0.5060 0.2868
0.4940 0.4940 0.7132
0.8153 0.8153 0.8823
0.6817 0.6817 0.1290
0.0351 0.0351 0.2855
0.9649 0.9649 0.7145
0.3183 0.3183 0.8710
0.3649 0.3649 0.3689
0.6351 0.6351 0.6311
```

Output
**Total moment**: 0.00 μB per cell
**Energy**: -7.832 eV per atom

---

11.
A relaxed structure of FeBi2S4, computed with PBE.

Structure (POSCAR):
```
FeBi2S4
1.0
6.2048 -1.9652 0.0000
6.2048 1.9652 0.0000
-6.1136 0.0000 13.3017
Bi Fe S
4 2 8
direct
0.3473 0.3473 0.1376
0.2173 0.2173 0.3701
0.7827 0.7827 0.6299
0.6527 0.6527 0.8624
0.0000 0.0000 0.0000
0.0000 0.0000 0.5000
0.6526 0.6526 0.0429
0.0129 0.0129 0.1672
0.8437 0.8437 0.3282
0.5986 0.5986 0.4477
0.4014 0.4014 0.5523
0.1563 0.1563 0.6718
0.9871 0.9871 0.8328
0.3474 0.3474 0.9571
```

Output
**Total moment**: 8.00 μB per cell
**Energy**: -4.964 eV per atom

---

12.
A relaxed structure of BaBe2Nb, computed with PBE.

Structure (POSCAR):
```
BaBe2Nb
1.0
1.8219 3.7128 2.3117
-1.2832 0.8645 4.4782
3.0904 -0.6881 3.5248
Ba Be Nb
1 2 1
direct
0.7500 0.7500 0.7500
0.2500 0.2500 0.2500
0.5000 0.5000 0.5000
0.0000 0.0000 0.0000
```

Output
**Total moment**: 2.43 μB per cell
**Energy**: -3.529 eV per atom

---

13.
A relaxed structure of Zr2Mo, computed with PBE.

Structure (POSCAR):
```
Zr2Mo
1.0
0.0149 -4.4813 -3.3272
-2.7392 -4.6176 1.5255
-4.6581 -1.4973 -2.6857
Mo Zr
2 4
direct
0.0000 0.0000 0.0000
0.2500 0.2500 0.2500
0.6250 0.6250 0.1250
0.6250 0.1250 0.6250
0.1250 0.6250 0.6250
0.6250 0.6250 0.6250
```

Output
**Total moment**: 0.01 μB per cell
**E_form**: 0.712 eV/atom
**ΔE to the lowest computed polymorph**: 695.8 meV per atom

---

14.
A relaxed structure of YCdAsO, computed with PBE.

Structure (POSCAR):
```
YCdAsO
1.0
4.0402 0.0000 0.0000
0.0000 6.3150 0.0000
0.0000 0.0000 6.7343
As Cd O Y
2 2 2 2
direct
0.0000 0.7158 0.3311
0.0000 0.2842 0.8311
0.0000 0.1059 0.4586
0.0000 0.8941 0.9586
0.5000 0.2745 0.3671
0.5000 0.7255 0.8671
0.5000 0.4683 0.0972
0.5000 0.5317 0.5972
```

Output
**Total moment**: 0.00 μB per cell
**Energy**: -5.705 eV per atom

---

15.
A relaxed structure of MgHgTeO, computed with PBE.

Structure (POSCAR):
```
MgHgTeO
1.0
6.0732 0.0000 0.0000
0.0000 9.8692 0.0000
0.0000 0.0000 5.7876
Hg Mg O Te
4 4 4 4
direct
0.0093 0.3100 0.0794
0.5093 0.6900 0.0794
0.4907 0.3100 0.5794
0.9907 0.6900 0.5794
0.1167 0.0475 0.4625
0.6167 0.9525 0.4625
0.3833 0.0475 0.9625
0.8833 0.9525 0.9625
0.1063 0.0527 0.1266
0.6063 0.9473 0.1266
0.3937 0.0527 0.6266
0.8937 0.9473 0.6266
0.5146 0.3350 0.0815
0.0146 0.6650 0.0815
0.9854 0.3350 0.5815
0.4854 0.6650 0.5815
```

Output
**ΔE to the lowest computed polymorph**: 9.6 meV per atom

---

16.
A relaxed structure of PmZn2, computed with PBE.

Structure (POSCAR):
```
PmZn2
1.0
1.4551 -1.7885 4.1951
-2.9878 -0.0658 3.7395
-1.7738 -4.1585 1.5735
Pm Zn
1 2
direct
0.0000 0.0000 0.0000
0.2500 0.2500 0.2500
0.7500 0.7500 0.7500
```

Output
**Total moment**: 0.01 μB per cell
**E_form**: 0.155 eV/atom
**ΔE to the lowest computed polymorph**: 530.1 meV per atom

---

17.
A relaxed structure of Ga2Si2Ag5, computed with PBE.

Structure (POSCAR):
```
Ga2Si2Ag5
1.0
15.6640 4.6394 12.2200
16.9067 5.9051 9.7727
15.0549 7.5193 11.5336
Ag Ga Si
5 2 2
direct
0.4702 0.4702 0.4702
0.6211 0.6211 0.6211
0.7362 0.7362 0.7362
0.8809 0.8809 0.8809
0.9923 0.9923 0.9923
0.5123 0.5123 0.5123
0.6941 0.6941 0.6941
0.1032 0.1032 0.1032
0.9217 0.9217 0.9217
```

Output
**Energy**: -3.249 eV per atom

---

18.
A relaxed structure of PmMgCd, computed with PBE.

Structure (POSCAR):
```
PmMgCd
1.0
0.0000 3.4970 3.4970
3.4970 0.0000 3.4970
3.4970 3.4970 0.0000
Cd Mg Pm
1 1 1
direct
0.2500 0.2500 0.2500
0.0000 0.0000 0.0000
0.7500 0.7500 0.7500
```

Output
**Total moment**: 0.00 μB per cell
**ΔE to the lowest computed polymorph**: 0.0 meV per atom

---

19.
A relaxed structure of LuAgTe3Pb, computed with PBE.

Structure (POSCAR):
```
LuAgTe3Pb
1.0
-4.8572 -6.0210 -4.7404
2.8833 -3.2598 1.1861
-9.7452 -3.4105 14.3170
Ag Lu Pb Te
4 4 4 12
direct
0.6295 0.7500 0.1414
0.1295 0.7500 0.3586
0.8705 0.2500 0.6414
0.3705 0.2500 0.8586
0.2554 0.7500 0.0307
0.7554 0.7500 0.4693
0.2446 0.2500 0.5307
0.7446 0.2500 0.9693
0.9282 0.2500 0.2249
0.4282 0.2500 0.2751
0.5718 0.7500 0.7249
0.0718 0.7500 0.7751
0.8872 0.7500 0.0566
0.4738 0.2500 0.0874
0.1903 0.7500 0.2031
0.6903 0.7500 0.2969
0.9738 0.2500 0.4126
0.3872 0.7500 0.4434
0.6128 0.2500 0.5566
0.0262 0.7500 0.5874
0.3097 0.2500 0.7031
0.8097 0.2500 0.7969
0.5262 0.7500 0.9126
0.1128 0.2500 0.9434
```

Output
**Total moment**: 0.00 μB per cell
**ΔE to the lowest computed polymorph**: 80.6 meV per atom

---

20.
A relaxed structure of BeCoNiB, computed with PBE.

Structure (POSCAR):
```
BeCoNiB
1.0
0.0000 2.5927 2.5927
2.5927 0.0000 2.5927
2.5927 2.5927 0.0000
B Be Co Ni
1 1 1 1
direct
0.2500 0.2500 0.2500
0.0000 0.0000 0.0000
0.5000 0.5000 0.5000
0.7500 0.7500 0.7500
```

Output
**Total moment**: 0.32 μB per cell
**ΔE to the lowest computed polymorph**: 409.4 meV per atom

---

21.
A relaxed structure of HoPbN2, computed with PBE.

Structure (POSCAR):
```
HoPbN2
1.0
5.8693 -1.7578 0.0000
5.8693 1.7578 0.0000
-1.0626 0.0000 6.0102
Ho N Pb
2 4 2
direct
0.7515 0.7515 0.2514
0.2485 0.2485 0.7486
0.3611 0.3611 0.1144
0.1434 0.1434 0.3754
0.8566 0.8566 0.6246
0.6389 0.6389 0.8856
0.0000 0.0000 0.0000
0.5000 0.5000 0.5000
```

Output
**Total moment**: 0.01 μB per cell
**Energy**: -6.582 eV per atom

---

22.
A relaxed structure of TmZrB4, computed with PBE.

Structure (POSCAR):
```
TmZrB4
1.0
-1.3587 0.9073 2.7594
1.5190 -2.8179 -0.1889
6.2628 3.2408 2.0181
B Tm Zr
4 1 1
direct
0.6667 0.3333 0.2408
0.3333 0.6667 0.2408
0.6667 0.3333 0.7592
0.3333 0.6667 0.7592
0.0000 0.0000 0.5000
0.0000 0.0000 0.0000
```

Output
**Total moment**: 0.00 μB per cell
**Energy**: -7.453 eV per atom

---

23.
A relaxed structure of NaNdTe3Au, computed with PBE.

Structure (POSCAR):
```
NaNdTe3Au
1.0
11.4753 0.0000 0.0000
0.0000 4.2749 0.0000
0.0000 0.0000 15.1982
Au Na Nd Te
4 4 4 12
direct
0.7629 0.7500 0.2222
0.2629 0.7500 0.2778
0.7371 0.2500 0.7222
0.2371 0.2500 0.7778
0.7741 0.2500 0.0195
0.2741 0.2500 0.4805
0.7259 0.7500 0.5195
0.2259 0.7500 0.9805
0.5178 0.2500 0.2462
0.0178 0.2500 0.2538
0.9822 0.7500 0.7462
0.4822 0.7500 0.7538
0.5830 0.7500 0.1005
0.9528 0.7500 0.1077
0.2660 0.2500 0.1576
0.7660 0.2500 0.3424
0.4528 0.7500 0.3923
0.0830 0.7500 0.3995
0.9170 0.2500 0.6005
0.5472 0.2500 0.6077
0.2340 0.7500 0.6576
0.7340 0.7500 0.8424
0.0472 0.2500 0.8923
0.4170 0.2500 0.8995
```

Output
**Total moment**: 0.24 μB per cell
**Energy**: -3.980 eV per atom